Li4V5O9F: relaxed, PBE with a Hubbard U.

Structure (extended XYZ):
```
19
Lattice="-0.9858 -0.6829 2.7626 4.6193 -2.4468 0.9963 11.2088 7.8570 4.1703" Properties=species:S:1:pos:R:3 pbc="T T T"
V 6.7691 -0.2319 4.6762
V 7.9589 5.4103 3.1387
V 2.4815 0.0890 1.6387
V 7.3724 2.5990 3.9472
V 12.6178 5.0116 6.3746
O 6.3758 4.4127 4.0247
O 8.7322 5.6452 5.0915
O 0.9843 -0.9029 2.4996
O 6.1152 -0.5658 2.7218
O 12.0486 4.8988 4.4535
O 8.9110 3.6255 3.1055
O 3.1368 0.3308 3.5723
O 8.3649 0.7437 3.8410
O 5.7855 1.5596 4.7646
Li 4.9612 1.3959 2.8040
Li 9.1780 1.2059 5.8548
Li 10.3030 5.1986 3.9032
Li 4.4293 -1.5109 3.5259
F 3.2986 -1.9006 1.4734
```

Computed properties:
* relative energy among the computed polymorphs: 0.0259 eV/atom
* symmetry: P1, No. 1
* crystal system: triclinic
* ρ: 3.711 Mg/m³